(1)
# Na2CeAgBr6

An optimized crystal structure of Na2CeAgBr6 (GGA-PBE, the Alexandria database).

Values from the calculation:
raw formation energy = -1337.2 kJ/mol of formula units
volume = 31.210 A^3/atom
total DFT energy (no corrections) = -70.64 eV per cell
symmetry = P2_1/c, No. 14

abc: 7.275 7.729 13.046
angles: 90.00 121.69 90.00
Fractional coordinates of all 20 atoms:
Na 0.199 0.089 0.235
Na 0.199 0.411 0.735
Na 0.801 0.589 0.265
Na 0.801 0.911 0.765
Ce 0.500 0.000 0.000
Ce 0.500 0.500 0.500
Ag 0.000 0.000 0.500
Ag 0.000 0.500 0.000
Br 0.106 0.189 0.930
Br 0.106 0.311 0.430
Br 0.235 0.685 0.917
Br 0.235 0.815 0.417
Br 0.407 0.064 0.756
Br 0.407 0.436 0.256
Br 0.593 0.564 0.744
Br 0.593 0.936 0.244
Br 0.765 0.185 0.583
Br 0.765 0.315 0.083
Br 0.894 0.689 0.570
Br 0.894 0.811 0.070

(2)
# Na2CeAgBr8

An optimized crystal structure of Na2CeAgBr8 (GGA-PBE, the Alexandria database).

Values from the calculation:
raw formation energy = -1388.9 kJ/mol of formula units
volume = 37.184 A^3/atom
total DFT energy (no corrections) = -39.20 eV per cell
symmetry = P-1, No. 2

abc: 7.171 7.498 8.830
angles: 84.52 85.22 71.03
Fractional coordinates of all 12 atoms:
Na 0.086 0.057 0.235
Na 0.914 0.943 0.765
Ce 0.500 0.500 0.000
Ag 0.500 0.500 0.500
Br 0.110 0.735 0.046
Br 0.176 0.790 0.505
Br 0.379 0.348 0.755
Br 0.413 0.223 0.196
Br 0.587 0.777 0.804
Br 0.621 0.652 0.245
Br 0.824 0.210 0.495
Br 0.890 0.265 0.954

(3)
# NaCeAgBr6

An optimized crystal structure of NaCeAgBr6 (GGA-PBE, the Alexandria database).

Values from the calculation:
raw formation energy = -1121.7 kJ/mol of formula units
volume = 33.360 A^3/atom
total DFT energy (no corrections) = -63.53 eV per cell
symmetry = P-31c, No. 163

abc: 7.149 7.149 13.569
angles: 90.00 90.00 120.00
Fractional coordinates of all 18 atoms:
Na 0.000 0.000 0.000
Na 0.000 0.000 0.500
Ce 0.333 0.667 0.250
Ce 0.667 0.333 0.750
Ag 0.333 0.667 0.750
Ag 0.667 0.333 0.250
Br 0.009 0.351 0.129
Br 0.009 0.658 0.371
Br 0.342 0.351 0.371
Br 0.342 0.991 0.129
Br 0.351 0.009 0.629
Br 0.351 0.342 0.871
Br 0.649 0.658 0.129
Br 0.649 0.991 0.371
Br 0.658 0.009 0.871
Br 0.658 0.649 0.629
Br 0.991 0.342 0.629
Br 0.991 0.649 0.871

(4)
# NaCeAg2Br8

An optimized crystal structure of NaCeAg2Br8 (GGA-PBE, the Alexandria database).

Values from the calculation:
raw formation energy = -1095.7 kJ/mol of formula units
volume = 34.524 A^3/atom
total DFT energy (no corrections) = -37.69 eV per cell
symmetry = I-4m2, No. 119

abc: 8.135 8.135 8.135
angles: 108.88 108.88 110.65
Fractional coordinates of all 12 atoms:
Na 0.000 0.000 0.000
Ce 0.750 0.250 0.500
Ag 0.250 0.750 0.500
Ag 0.500 0.500 0.000
Br 0.029 0.349 0.321
Br 0.029 0.708 0.679
Br 0.101 0.306 0.795
Br 0.292 0.971 0.321
Br 0.511 0.306 0.205
Br 0.651 0.971 0.679
Br 0.694 0.489 0.795
Br 0.694 0.899 0.205

(5)
# RbCeAg2Br8

An optimized crystal structure of RbCeAg2Br8 (GGA-PBE, the Alexandria database).

Values from the calculation:
raw formation energy = -1145.7 kJ/mol of formula units
volume = 38.059 A^3/atom
total DFT energy (no corrections) = -37.86 eV per cell
symmetry = I-4m2, No. 119

abc: 8.423 8.423 8.423
angles: 106.75 106.75 115.07
Fractional coordinates of all 12 atoms:
Rb 0.000 0.000 0.000
Ce 0.750 0.250 0.500
Ag 0.250 0.750 0.500
Ag 0.500 0.500 0.000
Br 0.026 0.358 0.332
Br 0.026 0.694 0.668
Br 0.106 0.324 0.782
Br 0.306 0.974 0.332
Br 0.542 0.324 0.218
Br 0.642 0.974 0.668
Br 0.676 0.458 0.782
Br 0.676 0.894 0.218

(6)
# RbCeAgBr5

An optimized crystal structure of RbCeAgBr5 (GGA-PBE, the Alexandria database).

Values from the calculation:
raw formation energy = -1107.7 kJ/mol of formula units
volume = 40.202 A^3/atom
total DFT energy (no corrections) = -59.20 eV per cell
symmetry = C2/c, No. 15

abc: 8.136 8.136 11.026
angles: 102.99 102.99 107.62
Fractional coordinates of all 16 atoms:
Rb 0.151 0.849 0.750
Rb 0.849 0.151 0.250
Ce 0.500 0.500 0.000
Ce 0.500 0.500 0.500
Ag 0.190 0.810 0.250
Ag 0.810 0.190 0.750
Br 0.128 0.251 0.937
Br 0.184 0.588 0.399
Br 0.251 0.128 0.437
Br 0.412 0.816 0.101
Br 0.420 0.580 0.750
Br 0.580 0.420 0.250
Br 0.588 0.184 0.899
Br 0.749 0.872 0.563
Br 0.816 0.412 0.601
Br 0.872 0.749 0.063